<i>
Computed, not measured: crystalline Na2CaAc at its relaxed geometry at the GGA-PBE level of DFT.

Calculated values
Total magnetization: 0.00 μB/cell

```
data_Na2CaAc
_chemical_formula_sum 'Na2 Ca1 Ac1'
_space_group_name_H-M_alt 'P 1'
_space_group_IT_number 1
_cell_length_a 6.0930
_cell_length_b 6.0930
_cell_length_c 6.0930
_cell_angle_alpha 60.00
_cell_angle_beta 60.00
_cell_angle_gamma 60.00
loop_
_space_group_symop_operation_xyz
'x,y,z'
loop_
_atom_site_label
_atom_site_fract_x
_atom_site_fract_y
_atom_site_fract_z
_atom_site_occupancy
Na1 0.2500 0.2500 0.2500 1
Na2 0.7500 0.7500 0.7500 1
Ac1 0.0000 0.0000 0.0000 1
Ca1 0.5000 0.5000 0.5000 1
```

=====

<ii>
Computed, not measured: crystalline Na2CaAc at its relaxed geometry at the GGA-PBE level of DFT.

Calculated values
Total magnetization: 0.00 μB/cell

```
data_Na2CaAc
_chemical_formula_sum 'Na2 Ca1 Ac1'
_space_group_name_H-M_alt 'P 1'
_space_group_IT_number 1
_cell_length_a 3.7928
_cell_length_b 3.7928
_cell_length_c 13.8581
_cell_angle_alpha 82.13
_cell_angle_beta 82.13
_cell_angle_gamma 60.00
loop_
_space_group_symop_operation_xyz
'x,y,z'
loop_
_atom_site_label
_atom_site_fract_x
_atom_site_fract_y
_atom_site_fract_z
_atom_site_occupancy
Na1 0.0887 0.0887 0.7339 1
Na2 0.9113 0.9113 0.2661 1
Ac1 0.0000 0.0000 0.0000 1
Ca1 0.5000 0.5000 0.5000 1
```

=====

<iii>
Computed, not measured: crystalline Na2CaAc at its relaxed geometry at the GGA-PBE level of DFT.

Calculated values
Total magnetization: 0.00 μB/cell

```
data_Na2CaAc
_chemical_formula_sum 'Na2 Ca1 Ac1'
_space_group_name_H-M_alt 'P 1'
_space_group_IT_number 1
_cell_length_a 3.8751
_cell_length_b 3.8751
_cell_length_c 12.9060
_cell_angle_alpha 81.37
_cell_angle_beta 81.37
_cell_angle_gamma 60.00
loop_
_space_group_symop_operation_xyz
'x,y,z'
loop_
_atom_site_label
_atom_site_fract_x
_atom_site_fract_y
_atom_site_fract_z
_atom_site_occupancy
Na1 0.8360 0.8360 0.4920 1
Na2 0.4211 0.4211 0.7367 1
Ca1 0.2516 0.2516 0.2453 1
Ac1 0.0023 0.0023 0.9930 1
```

=====

<iv>
Computed, not measured: crystalline Na2CaAc at its relaxed geometry at the GGA-PBE level of DFT.

Calculated values
Total magnetization: 0.00 μB/cell

```
data_Na2CaAc
_chemical_formula_sum 'Na2 Ca1 Ac1'
_space_group_name_H-M_alt 'P 1'
_space_group_IT_number 1
_cell_length_a 3.9966
_cell_length_b 6.3110
_cell_length_c 6.3110
_cell_angle_alpha 90.00
_cell_angle_beta 90.00
_cell_angle_gamma 90.00
loop_
_space_group_symop_operation_xyz
'x,y,z'
loop_
_atom_site_label
_atom_site_fract_x
_atom_site_fract_y
_atom_site_fract_z
_atom_site_occupancy
Na1 0.0000 0.0000 0.5000 1
Na2 0.0000 0.5000 0.0000 1
Ac1 0.5000 0.5000 0.5000 1
Ca1 0.5000 0.0000 0.0000 1
```

=====

Most stable structure: <iii>

=====

<i>
Computed, not measured: crystalline NaCa2Ac at its relaxed geometry at the GGA-PBE level of DFT.

Calculated values
Total magnetization: 0.00 μB/cell

```
data_NaCa2Ac
_chemical_formula_sum 'Na1 Ca2 Ac1'
_space_group_name_H-M_alt 'P 1'
_space_group_IT_number 1
_cell_length_a 3.8628
_cell_length_b 3.8537
_cell_length_c 13.6134
_cell_angle_alpha 90.00
_cell_angle_beta 55.41
_cell_angle_gamma 90.00
loop_
_space_group_symop_operation_xyz
'x,y,z'
loop_
_atom_site_label
_atom_site_fract_x
_atom_site_fract_y
_atom_site_fract_z
_atom_site_occupancy
Na1 0.5000 0.5000 0.7500 1
Ca1 0.5099 0.0000 0.9949 1
Ca2 0.4901 0.0000 0.5051 1
Ac1 0.5000 0.5000 0.2500 1
```

=====

<ii>
Computed, not measured: crystalline NaCa2Ac at its relaxed geometry at the GGA-PBE level of DFT.

Calculated values
Total magnetization: 0.00 μB/cell

```
data_NaCa2Ac
_chemical_formula_sum 'Na1 Ca2 Ac1'
_space_group_name_H-M_alt 'P 1'
_space_group_IT_number 1
_cell_length_a 6.1927
_cell_length_b 6.1927
_cell_length_c 6.1927
_cell_angle_alpha 60.00
_cell_angle_beta 60.00
_cell_angle_gamma 60.00
loop_
_space_group_symop_operation_xyz
'x,y,z'
loop_
_atom_site_label
_atom_site_fract_x
_atom_site_fract_y
_atom_site_fract_z
_atom_site_occupancy
Na1 0.5000 0.5000 0.5000 1
Ac1 0.0000 0.0000 0.0000 1
Ca1 0.2500 0.2500 0.2500 1
Ca2 0.7500 0.7500 0.7500 1
```

=====

<iii>
Computed, not measured: crystalline NaCa2Ac at its relaxed geometry at the GGA-PBE level of DFT.

Calculated values
Total magnetization: 0.00 μB/cell

```
data_NaCa2Ac
_chemical_formula_sum 'Na1 Ca2 Ac1'
_space_group_name_H-M_alt 'P 1'
_space_group_IT_number 1
_cell_length_a 4.2792
_cell_length_b 4.2792
_cell_length_c 9.0144
_cell_angle_alpha 90.00
_cell_angle_beta 90.00
_cell_angle_gamma 90.00
loop_
_space_group_symop_operation_xyz
'x,y,z'
loop_
_atom_site_label
_atom_site_fract_x
_atom_site_fract_y
_atom_site_fract_z
_atom_site_occupancy
Na1 0.5000 0.5000 0.5000 1
Ac1 0.5000 0.5000 0.0000 1
Ca1 0.0000 0.0000 0.7329 1
Ca2 0.0000 0.0000 0.2671 1
```

=====

Most stable structure: <i>

=====

<i>
Computed, not measured: crystalline CaAcNd2 at its relaxed geometry at the GGA-PBE level of DFT.

Calculated values
Total magnetization: 0.00 μB/cell

```
data_CaAcNd2
_chemical_formula_sum 'Ca1 Ac1 Nd2'
_space_group_name_H-M_alt 'P 1'
_space_group_IT_number 1
_cell_length_a 3.7962
_cell_length_b 3.7962
_cell_length_c 12.5043
_cell_angle_alpha 90.00
_cell_angle_beta 90.00
_cell_angle_gamma 119.96
loop_
_space_group_symop_operation_xyz
'x,y,z'
loop_
_atom_site_label
_atom_site_fract_x
_atom_site_fract_y
_atom_site_fract_z
_atom_site_occupancy
Ca1 0.8009 0.1991 0.0000 1
Ac1 0.1327 0.8673 0.5000 1
Nd1 0.4662 0.5338 0.2513 1
Nd2 0.4662 0.5338 0.7487 1
```

=====

<ii>
Computed, not measured: crystalline CaAcNd2 at its relaxed geometry at the GGA-PBE level of DFT.

Calculated values
Total magnetization: 0.00 μB/cell

```
data_CaAcNd2
_chemical_formula_sum 'Ca2 Ac2 Nd4'
_space_group_name_H-M_alt 'P 1'
_space_group_IT_number 1
_cell_length_a 3.7926
_cell_length_b 6.0181
_cell_length_c 14.0490
_cell_angle_alpha 89.98
_cell_angle_beta 98.44
_cell_angle_gamma 90.00
loop_
_space_group_symop_operation_xyz
'x,y,z'
loop_
_atom_site_label
_atom_site_fract_x
_atom_site_fract_y
_atom_site_fract_z
_atom_site_occupancy
Ca1 0.2259 0.2500 0.4193 1
Ca2 0.7741 0.7500 0.5807 1
Ac1 0.6692 0.7500 0.3046 1
Ac2 0.3308 0.2500 0.6954 1
Nd1 0.5842 0.2500 0.1555 1
Nd2 0.4158 0.7500 0.8445 1
Nd3 0.0410 0.7500 0.0747 1
Nd4 0.9590 0.2500 0.9253 1
```

=====

Most stable structure: <ii>

=====

<i>
Computed, not measured: crystalline CaAcNd2 at its relaxed geometry at the GGA-PBE level of DFT.

Calculated values
Total magnetization: 0.00 μB/cell

```
data_CaAcNd2
_chemical_formula_sum 'Ca1 Ac1 Nd2'
_space_group_name_H-M_alt 'P 1'
_space_group_IT_number 1
_cell_length_a 3.8345
_cell_length_b 3.8345
_cell_length_c 10.5758
_cell_angle_alpha 90.00
_cell_angle_beta 90.00
_cell_angle_gamma 90.00
loop_
_space_group_symop_operation_xyz
'x,y,z'
loop_
_atom_site_label
_atom_site_fract_x
_atom_site_fract_y
_atom_site_fract_z
_atom_site_occupancy
Ac1 0.5000 0.5000 0.0000 1
Nd1 0.0000 0.0000 0.7560 1
Nd2 0.0000 0.0000 0.2440 1
Ca1 0.5000 0.5000 0.5000 1
```

=====

<ii>
Computed, not measured: crystalline CaAcNd2 at its relaxed geometry at the GGA-PBE level of DFT.

Calculated values
Total magnetization: 0.00 μB/cell

```
data_CaAcNd2
_chemical_formula_sum 'Ca1 Ac1 Nd2'
_space_group_name_H-M_alt 'P 1'
_space_group_IT_number 1
_cell_length_a 6.0353
_cell_length_b 6.0353
_cell_length_c 6.0353
_cell_angle_alpha 60.00
_cell_angle_beta 60.00
_cell_angle_gamma 60.00
loop_
_space_group_symop_operation_xyz
'x,y,z'
loop_
_atom_site_label
_atom_site_fract_x
_atom_site_fract_y
_atom_site_fract_z
_atom_site_occupancy
Ac1 0.0000 0.0000 0.0000 1
Nd1 0.2500 0.2500 0.2500 1
Nd2 0.7500 0.7500 0.7500 1
Ca1 0.5000 0.5000 0.5000 1
```

=====

Most stable structure: <i>